(1)
The following is a DFT calculation (GGA-PBE) of a relaxed AcAgSn crystal.

POSCAR file:
```
AcAgSn
1.0
7.183 0.000 0.000
0.000 7.183 0.000
0.000 0.000 7.183
Ac Ag Sn
4 4 4
direct
0.000 0.000 0.000
0.000 0.500 0.500
0.500 0.000 0.500
0.500 0.500 0.000
0.250 0.250 0.250
0.250 0.750 0.750
0.750 0.250 0.750
0.750 0.750 0.250
0.000 0.000 0.500
0.000 0.500 0.000
0.500 0.000 0.000
0.500 0.500 0.500
```

Calculated values
**Space-group type**: F-43m, No. 216
**Polymorph energy (0 for the lowest one)**: 0.0362 eV/atom
**Magnetic moment**: 0.000 μB/atom
**Calculated total energy**: -4.17 eV per atom

(2)
The following is a DFT calculation (GGA-PBE) of a relaxed AcAgSn crystal.

POSCAR file:
```
AcAgSn
1.0
4.867 0.000 0.000
-2.433 4.215 0.000
0.000 0.000 4.275
Ac Ag Sn
1 1 1
direct
0.000 0.000 0.000
0.333 0.667 0.500
0.667 0.333 0.500
```

Calculated values
**Space-group type**: P-6m2, No. 187
**Polymorph energy (0 for the lowest one)**: 0.0000 eV/atom
**Magnetic moment**: 0.024 μB/atom
**Calculated total energy**: -4.21 eV per atom

(3)
The following is a DFT calculation (GGA-PBE) of a relaxed Ac3Ag2Sn4 crystal.

POSCAR file:
```
Ac3Ag2Sn4
1.0
6.136 -2.439 0.000
6.136 2.439 0.000
-2.333 0.000 9.120
Ac Ag Sn
3 2 4
direct
0.000 0.000 0.000
0.339 0.339 0.331
0.661 0.661 0.669
0.387 0.387 0.714
0.613 0.613 0.286
0.066 0.066 0.391
0.290 0.290 0.946
0.710 0.710 0.054
0.934 0.934 0.609
```

Calculated values
**Space-group type**: C2/m, No. 12
**Magnetic moment**: 0.001 μB/atom
**Calculated total energy**: -4.39 eV per atom

(4)
The following is a DFT calculation (GGA-PBE) of a relaxed AcTaAg crystal.

POSCAR file:
```
AcTaAg
1.0
7.157 0.000 0.000
0.000 7.157 0.000
0.000 0.000 7.157
Ac Ta Ag
4 4 4
direct
0.000 0.000 0.000
0.000 0.500 0.500
0.500 0.000 0.500
0.500 0.500 0.000
0.250 0.250 0.250
0.250 0.750 0.750
0.750 0.250 0.750
0.750 0.750 0.250
0.250 0.250 0.750
0.250 0.750 0.250
0.750 0.250 0.250
0.750 0.750 0.750
```

Calculated values
**Space-group type**: F-43m, No. 216
**Polymorph energy (0 for the lowest one)**: 0.5519 eV/atom
**DFT formation energy**: 4.6 eV/f.u.
**Magnetic moment**: 0.580 μB/atom
**Calculated total energy**: -4.72 eV per atom

(5)
The following is a DFT calculation (GGA-PBE) of a relaxed AcTaAg crystal.

POSCAR file:
```
AcTaAg
1.0
7.084 0.000 0.000
0.000 7.084 0.000
0.000 0.000 7.084
Ac Ta Ag
4 4 4
direct
0.000 0.000 0.000
0.000 0.500 0.500
0.500 0.000 0.500
0.500 0.500 0.000
0.000 0.000 0.500
0.000 0.500 0.000
0.500 0.000 0.000
0.500 0.500 0.500
0.250 0.250 0.250
0.250 0.750 0.750
0.750 0.250 0.750
0.750 0.750 0.250
```

Calculated values
**Space-group type**: F-43m, No. 216
**Polymorph energy (0 for the lowest one)**: 0.0000 eV/atom
**DFT formation energy**: 3.0 eV/f.u.
**Magnetic moment**: 0.814 μB/atom
**Calculated total energy**: -5.27 eV per atom

(6)
The following is a DFT calculation (GGA-PBE) of a relaxed AcTbAg crystal.

POSCAR file:
```
AcTbAg
1.0
7.379 0.000 0.000
0.000 7.379 0.000
0.000 0.000 7.379
Ac Tb Ag
4 4 4
direct
0.000 0.000 0.000
0.000 0.500 0.500
0.500 0.000 0.500
0.500 0.500 0.000
0.250 0.250 0.250
0.250 0.750 0.750
0.750 0.250 0.750
0.750 0.750 0.250
0.250 0.250 0.750
0.250 0.750 0.250
0.750 0.250 0.250
0.750 0.750 0.750
```

Calculated values
**Space-group type**: F-43m, No. 216
**Polymorph energy (0 for the lowest one)**: 0.5506 eV/atom
**DFT formation energy**: 1.9 eV/f.u.
**Magnetic moment**: 0.001 μB/atom
**Calculated total energy**: -3.22 eV per atom

(7)
The following is a DFT calculation (GGA-PBE) of a relaxed AcTbAg crystal.

POSCAR file:
```
AcTbAg
1.0
7.448 0.000 0.000
0.000 7.448 0.000
0.000 0.000 7.448
Ac Tb Ag
4 4 4
direct
0.000 0.000 0.000
0.000 0.500 0.500
0.500 0.000 0.500
0.500 0.500 0.000
0.000 0.000 0.500
0.000 0.500 0.000
0.500 0.000 0.000
0.500 0.500 0.500
0.250 0.250 0.250
0.250 0.750 0.750
0.750 0.250 0.750
0.750 0.750 0.250
```

Calculated values
**Space-group type**: F-43m, No. 216
**Polymorph energy (0 for the lowest one)**: 0.0000 eV/atom
**DFT formation energy**: 0.2 eV/f.u.
**Magnetic moment**: 0.077 μB/atom
**Calculated total energy**: -3.77 eV per atom

(8)
The following is a DFT calculation (GGA-PBE) of a relaxed AcTcAg crystal.

POSCAR file:
```
AcTcAg
1.0
6.922 0.000 0.000
0.000 6.922 0.000
0.000 0.000 6.922
Ac Tc Ag
4 4 4
direct
0.000 0.000 0.000
0.000 0.500 0.500
0.500 0.000 0.500
0.500 0.500 0.000
0.000 0.000 0.500
0.000 0.500 0.000
0.500 0.000 0.000
0.500 0.500 0.500
0.250 0.250 0.250
0.250 0.750 0.750
0.750 0.250 0.750
0.750 0.750 0.250
```

Calculated values
**Space-group type**: F-43m, No. 216
**DFT formation energy**: 2.4 eV/f.u.
**Magnetic moment**: 0.656 μB/atom
**Calculated total energy**: -4.95 eV per atom

(9)
The following is a DFT calculation (GGA-PBE) of a relaxed AcAgTe crystal.

POSCAR file:
```
AcAgTe
1.0
7.286 0.000 0.000
0.000 7.286 0.000
0.000 0.000 7.286
Ac Ag Te
4 4 4
direct
0.000 0.000 0.000
0.000 0.500 0.500
0.500 0.000 0.500
0.500 0.500 0.000
0.250 0.250 0.250
0.250 0.750 0.750
0.750 0.250 0.750
0.750 0.750 0.250
0.000 0.000 0.500
0.000 0.500 0.000
0.500 0.000 0.000
0.500 0.500 0.500
```

Calculated values
**Space-group type**: F-43m, No. 216
**Polymorph energy (0 for the lowest one)**: 0.1088 eV/atom
**Magnetic moment**: 0.000 μB/atom
**Calculated total energy**: -3.95 eV per atom

(10)
The following is a DFT calculation (GGA-PBE) of a relaxed AcTlAg4 crystal.

POSCAR file:
```
AcTlAg4
1.0
0.000 4.083 4.083
4.083 0.000 4.083
4.083 4.083 0.000
Ac Tl Ag
1 1 4
direct
0.000 0.000 0.000
0.250 0.250 0.250
0.126 0.625 0.625
0.625 0.126 0.625
0.625 0.625 0.126
0.625 0.625 0.625
```

Calculated values
**Space-group type**: F-43m, No. 216
**Magnetic moment**: 0.000 μB/atom
**Calculated total energy**: -3.18 eV per atom

(11)
The following is a DFT calculation (GGA-PBE) of a relaxed AcTlAg crystal.

POSCAR file:
```
AcTlAg
1.0
7.252 0.000 0.000
0.000 7.252 0.000
0.000 0.000 7.252
Ac Tl Ag
4 4 4
direct
0.000 0.000 0.000
0.000 0.500 0.500
0.500 0.000 0.500
0.500 0.500 0.000
0.000 0.000 0.500
0.000 0.500 0.000
0.500 0.000 0.000
0.500 0.500 0.500
0.250 0.250 0.250
0.250 0.750 0.750
0.750 0.250 0.750
0.750 0.750 0.250
```

Calculated values
**Space-group type**: F-43m, No. 216
**Polymorph energy (0 for the lowest one)**: 0.0000 eV/atom
**Magnetic moment**: 0.001 μB/atom
**Calculated total energy**: -3.33 eV per atom

(12)
The following is a DFT calculation (GGA-PBE) of a relaxed Ac3Tl4Ag2 crystal.

POSCAR file:
```
Ac3Tl4Ag2
1.0
5.991 -2.553 0.000
5.991 2.553 0.000
-3.988 0.000 8.936
Ac Tl Ag
3 4 2
direct
0.000 0.000 0.000
0.328 0.328 0.348
0.672 0.672 0.652
0.035 0.035 0.365
0.260 0.260 0.915
0.740 0.740 0.085
0.965 0.965 0.635
0.399 0.399 0.727
0.601 0.601 0.273
```

Calculated values
**Space-group type**: C2/m, No. 12
**Magnetic moment**: 0.002 μB/atom
**Calculated total energy**: -3.38 eV per atom

(13)
The following is a DFT calculation (GGA-PBE) of a relaxed AcTmAg crystal.

POSCAR file:
```
AcTmAg
1.0
7.395 0.000 0.000
0.000 7.395 0.000
0.000 0.000 7.395
Ac Tm Ag
4 4 4
direct
0.000 0.000 0.000
0.000 0.500 0.500
0.500 0.000 0.500
0.500 0.500 0.000
0.000 0.000 0.500
0.000 0.500 0.000
0.500 0.000 0.000
0.500 0.500 0.500
0.250 0.250 0.250
0.250 0.750 0.750
0.750 0.250 0.750
0.750 0.750 0.250
```

Calculated values
**Space-group type**: F-43m, No. 216
**Polymorph energy (0 for the lowest one)**: 0.0000 eV/atom
**DFT formation energy**: 0.2 eV/f.u.
**Magnetic moment**: 0.005 μB/atom
**Calculated total energy**: -3.73 eV per atom

(14)
The following is a DFT calculation (GGA-PBE) of a relaxed AcTmAg crystal.

POSCAR file:
```
AcTmAg
1.0
7.388 0.000 0.000
0.000 7.388 0.000
0.000 0.000 7.388
Ac Tm Ag
4 4 4
direct
0.000 0.000 0.000
0.000 0.500 0.500
0.500 0.000 0.500
0.500 0.500 0.000
0.250 0.250 0.250
0.250 0.750 0.750
0.750 0.250 0.750
0.750 0.750 0.250
0.250 0.250 0.750
0.250 0.750 0.250
0.750 0.250 0.250
0.750 0.750 0.750
```

Calculated values
**Space-group type**: F-43m, No. 216
**Polymorph energy (0 for the lowest one)**: 0.6060 eV/atom
**DFT formation energy**: 2.0 eV/f.u.
**Magnetic moment**: 0.001 μB/atom
**Calculated total energy**: -3.13 eV per atom

(15)
The following is a DFT calculation (GGA-PBE) of a relaxed Ac2U5Ag crystal.

POSCAR file:
```
Ac2U5Ag
1.0
6.625 0.000 0.000
0.000 6.625 0.000
0.000 0.000 5.614
Ac U Ag
2 5 1
direct
0.000 0.500 0.000
0.500 0.000 0.000
0.000 0.000 0.000
0.311 0.311 0.500
0.311 0.689 0.500
0.689 0.311 0.500
0.689 0.689 0.500
0.000 0.000 0.500
```

Calculated values
**Space-group type**: P4/mmm, No. 123
**DFT formation energy**: 7.1 eV/f.u.
**Magnetic moment**: 1.162 μB/atom
**Calculated total energy**: -7.56 eV per atom

(16)
The following is a DFT calculation (GGA-PBE) of a relaxed Ac2Zn15Ag2 crystal.

POSCAR file:
```
Ac2Zn15Ag2
1.0
4.636 2.677 4.530
-4.636 2.677 4.530
0.000 -5.353 4.530
Ac Zn Ag
2 15 2
direct
0.158 0.158 0.158
0.842 0.842 0.842
0.000 0.500 0.500
0.154 0.154 0.660
0.154 0.660 0.154
0.214 0.500 0.786
0.214 0.786 0.500
0.340 0.846 0.846
0.500 0.000 0.500
0.500 0.214 0.786
0.500 0.500 0.000
0.500 0.786 0.214
0.660 0.154 0.154
0.786 0.214 0.500
0.786 0.500 0.214
0.846 0.340 0.846
0.846 0.846 0.340
0.395 0.395 0.395
0.605 0.605 0.605
```

Calculated values
**Space-group type**: R-3m, No. 166
**DFT formation energy**: -4.4 eV/f.u.
**Magnetic moment**: 0.000 μB/atom
**Calculated total energy**: -1.96 eV per atom

(17)
The following is a DFT calculation (GGA-PBE) of a relaxed AcZnAg crystal.

POSCAR file:
```
AcZnAg
1.0
4.773 0.000 0.000
-2.387 4.134 0.000
0.000 0.000 3.997
Ac Zn Ag
1 1 1
direct
0.000 0.000 0.000
0.667 0.333 0.500
0.333 0.667 0.500
```

Calculated values
**Space-group type**: P-6m2, No. 187
**Polymorph energy (0 for the lowest one)**: 0.0000 eV/atom
**DFT formation energy**: -1.0 eV/f.u.
**Magnetic moment**: 0.000 μB/atom
**Calculated total energy**: -3.06 eV per atom

(18)
The following is a DFT calculation (GGA-PBE) of a relaxed AcZnAg crystal.

POSCAR file:
```
AcZnAg
1.0
7.089 0.000 0.000
0.000 7.089 0.000
0.000 0.000 7.089
Ac Zn Ag
4 4 4
direct
0.000 0.000 0.000
0.000 0.500 0.500
0.500 0.000 0.500
0.500 0.500 0.000
0.000 0.000 0.500
0.000 0.500 0.000
0.500 0.000 0.000
0.500 0.500 0.500
0.250 0.250 0.250
0.250 0.750 0.750
0.750 0.250 0.750
0.750 0.750 0.250
```

Calculated values
**Space-group type**: F-43m, No. 216
**Polymorph energy (0 for the lowest one)**: 0.2385 eV/atom
**DFT formation energy**: -0.3 eV/f.u.
**Magnetic moment**: 0.001 μB/atom
**Calculated total energy**: -2.82 eV per atom

(19)
The following is a DFT calculation (GGA-PBE) of a relaxed AcZn4Ag8 crystal.

POSCAR file:
```
AcZn4Ag8
1.0
-4.792 4.792 2.654
4.792 -4.792 2.654
4.792 4.792 -2.654
Ac Zn Ag
1 4 8
direct
0.000 0.000 0.000
0.000 0.000 0.500
0.000 0.500 0.000
0.500 0.000 0.000
0.500 0.500 0.500
0.000 0.350 0.350
0.000 0.650 0.650
0.278 0.500 0.778
0.350 0.000 0.350
0.500 0.278 0.778
0.500 0.722 0.222
0.650 0.000 0.650
0.722 0.500 0.222
```

Calculated values
**Space-group type**: I4/mmm, No. 139
**DFT formation energy**: -2.0 eV/f.u.
**Magnetic moment**: 0.000 μB/atom
**Calculated total energy**: -2.60 eV per atom

(20)
The following is a DFT calculation (GGA-PBE) of a relaxed AcZnAg crystal.

POSCAR file:
```
AcZnAg
1.0
7.344 0.000 0.000
0.000 7.344 0.000
0.000 0.000 7.344
Ac Zn Ag
4 4 4
direct
0.000 0.000 0.000
0.000 0.500 0.500
0.500 0.000 0.500
0.500 0.500 0.000
0.250 0.250 0.250
0.250 0.750 0.750
0.750 0.250 0.750
0.750 0.750 0.250
0.250 0.250 0.750
0.250 0.750 0.250
0.750 0.250 0.250
0.750 0.750 0.750
```

Calculated values
**Space-group type**: F-43m, No. 216
**Polymorph energy (0 for the lowest one)**: 0.5244 eV/atom
**DFT formation energy**: 0.6 eV/f.u.
**Magnetic moment**: 0.002 μB/atom
**Calculated total energy**: -2.54 eV per atom